VASP calculation (GGA-PBE) on a geometry-optimized Dy5ThTl6 structure. Values from VASP.

The structure in Quantum ESPRESSO input format:
```
&SYSTEM
  ibrav = 0, nat = 12, ntyp = 3
/
ATOMIC_SPECIES
Tl 204.38 Tl.upf
Th 232.04 Th.upf
Dy 162.50 Dy.upf
ATOMIC_POSITIONS crystal
Tl 0.170 0.913 0.341
Th 0.000 0.000 0.000
Tl 0.830 0.572 0.659
Dy 0.660 0.160 0.320
Tl 0.500 0.736 0.000
Dy 0.000 0.500 0.000
Dy 0.331 0.331 0.662
Dy 0.340 0.840 0.680
Dy 0.669 0.669 0.338
Tl 0.500 0.264 0.000
Tl 0.170 0.428 0.341
Tl 0.830 0.087 0.659
CELL_PARAMETERS angstrom
5.203 0.020 -1.522
-1.034 6.617 -3.446
-0.105 0.563 9.344
```

Properties
The calculated density is 11.36 g cm⁻³. Its formation energy is -293.7 meV/atom. The symmetry is C2/m (12).